# 1
Density functional theory data (PBE) for crystalline Re2SbCl at its relaxed geometry.

Results
* electronic total energy: -27.62 eV/f.u.
* raw formation energy: 0.81 eV/atom
* distance to the lowest polymorph of the same formula: 759.5 meV/atom
* calculated volume: 73.6 Å³ per cell
* space-group type: No. 8
* magnetization: 0.002 μB per cell

Unit cell a=5.2883 b=5.2883 c=4.7651 alpha=97.11 beta=97.11 gamma=33.84
Last column: nearest neighbours and their distance in Å.
Sites, in units of the cell vectors:
Re 0.0000 0.0000 0.0000  1 Cl 2.38
Re 0.7291 0.7291 0.1388  2 Cl 2.34
Sb 0.4335 0.4335 0.4340  4 Re 2.73-2.81, 1 Cl 3.06
Cl 0.1941 0.1941 0.7653  3 Re 2.34-2.38

---

# 2
Density functional theory data (PBE) for crystalline ReSbCl at its relaxed geometry.

Results
* electronic total energy: -17.40 eV/f.u.
* raw formation energy: 0.34 eV/atom
* distance to the lowest polymorph of the same formula: 0.0 meV/atom
* calculated volume: 71.2 Å³ per cell
* space-group type: No. 156
* magnetization: 0.385 μB per cell

Unit cell a=3.2190 b=3.2190 c=7.9341 alpha=90.00 beta=90.00 gamma=120.00
Last column: nearest neighbours and their distance in Å.
Sites, in units of the cell vectors:
Re 0.0000 0.0000 0.0000  3 Cl 2.58, 3 Sb 2.73
Sb 0.6667 0.3333 0.2518  3 Re 2.73
Cl 0.3333 0.6667 0.7749  3 Re 2.58

---

# 3
Density functional theory data (PBE) for crystalline Re2SbCl at its relaxed geometry.

Results
* electronic total energy: -27.44 eV/f.u.
* raw formation energy: 0.86 eV/atom
* distance to the lowest polymorph of the same formula: 806.8 meV/atom
* calculated volume: 67.3 Å³ per cell
* space-group type: No. 166
* magnetization: 0.000 μB per cell

Unit cell a=8.5197 b=8.5197 c=8.5197 alpha=20.65 beta=20.65 gamma=20.65
Last column: nearest neighbours and their distance in Å.
Sites, in units of the cell vectors:
Re 0.2501 0.2501 0.2501  3 Sb 2.73, 3 Cl 2.73, 6 Re 3.05
Re 0.7499 0.7499 0.7499  3 Sb 2.73, 3 Cl 2.73, 6 Re 3.05
Sb 0.0000 0.0000 0.0000  6 Re 2.73, 6 Sb 3.05
Cl 0.5000 0.5000 0.5000  6 Re 2.73, 6 Cl 3.05

---

# 4
Density functional theory data (PBE) for crystalline ReSbCl at its relaxed geometry.

Results
* electronic total energy: -16.16 eV/f.u.
* raw formation energy: 0.75 eV/atom
* distance to the lowest polymorph of the same formula: 412.9 meV/atom
* calculated volume: 56.7 Å³ per cell
* space-group type: No. 156
* magnetization: 0.651 μB per cell

Unit cell a=4.5760 b=4.5760 c=3.1259 alpha=90.00 beta=90.00 gamma=120.00
Last column: nearest neighbours and their distance in Å.
Sites, in units of the cell vectors:
Re 0.0000 0.0000 0.0000  3 Cl 2.67, 3 Sb 2.79
Sb 0.6667 0.3333 0.2882  3 Re 2.79, 3 Cl 2.95, 2 Sb 3.13
Cl 0.3333 0.6667 0.8709  3 Re 2.67, 3 Sb 2.95

---

# 5
Density functional theory data (PBE) for crystalline Re2SbCl at its relaxed geometry.

Results
* electronic total energy: -30.66 eV/f.u.
* raw formation energy: 0.05 eV/atom
* distance to the lowest polymorph of the same formula: 0.0 meV/atom
* calculated volume: 84.4 Å³ per cell
* space-group type: No. 6
* magnetization: 0.000 μB per cell

Unit cell a=3.0609 b=3.0124 c=9.2773 alpha=90.00 beta=99.33 gamma=90.00
Last column: nearest neighbours and their distance in Å.
Sites, in units of the cell vectors:
Re 0.0000 0.0000 0.0000  2 Cl 2.42, 4 Re 2.65
Re 0.4169 0.5000 0.8308  4 Re 2.65, 4 Sb 2.93
Sb 0.8100 0.0000 0.6134  4 Re 2.93, 4 Sb 3.01-3.06
Cl 0.1017 0.5000 0.2073  2 Re 2.42

---

# 6
Density functional theory data (PBE) for crystalline ReSbCl at its relaxed geometry.

Results
* electronic total energy: -16.98 eV/f.u.
* raw formation energy: 0.48 eV/atom
* distance to the lowest polymorph of the same formula: 137.7 meV/atom
* calculated volume: 67.2 Å³ per cell
* space-group type: No. 42
* magnetization: 0.000 μB per cell

Unit cell a=8.5881 b=8.2498 c=3.1702 alpha=85.23 beta=73.19 gamma=21.58
Last column: nearest neighbours and their distance in Å.
Sites, in units of the cell vectors:
Re 0.0000 0.0000 0.0000  2 Cl 2.38
Sb 0.3513 0.3513 0.6487  2 Re 2.83, 2 Sb 2.95
Cl 0.6150 0.6150 0.3850  2 Re 2.38

---

# 7
Density functional theory data (PBE) for crystalline ReSbCl at its relaxed geometry.

Results
* electronic total energy: -16.43 eV/f.u.
* raw formation energy: 0.66 eV/atom
* distance to the lowest polymorph of the same formula: 323.4 meV/atom
* calculated volume: 64.6 Å³ per cell
* space-group type: No. 216
* magnetization: 0.970 μB per cell

Unit cell a=4.5039 b=4.5039 c=4.5039 alpha=60.00 beta=60.00 gamma=60.00
Last column: nearest neighbours and their distance in Å.
Sites, in units of the cell vectors:
Re 0.0000 0.0000 0.0000  4 Sb 2.76, 4 Cl 2.76
Sb 0.7500 0.7500 0.7500  4 Re 2.76
Cl 0.2500 0.2500 0.2500  4 Re 2.76

---

# 8
Density functional theory data (PBE) for crystalline Re2SbCl at its relaxed geometry.

Results
* electronic total energy: -26.87 eV/f.u.
* raw formation energy: 1.00 eV/atom
* distance to the lowest polymorph of the same formula: 947.9 meV/atom
* calculated volume: 84.4 Å³ per cell
* space-group type: No. 10
* magnetization: 0.000 μB per cell

Unit cell a=3.5934 b=4.3988 c=5.3645 alpha=90.00 beta=95.69 gamma=90.00
Last column: nearest neighbours and their distance in Å.
Sites, in units of the cell vectors:
Re 0.2045 0.0000 0.3470  2 Re 2.31-2.55, 2 Cl 2.54
Re 0.7955 0.0000 0.6530  2 Re 2.31-2.55, 2 Cl 2.54
Sb 0.0000 0.5000 0.0000  4 Re 2.93, 2 Cl 3.08
Cl 0.5000 0.5000 0.5000  4 Re 2.54

---

# 9
Density functional theory data (PBE) for crystalline Re2SbSeCl at its relaxed geometry.

Results
* electronic total energy: -26.46 eV/f.u.
* raw formation energy: 1.58 eV/atom
* calculated volume: 112.7 Å³ per cell
* space-group type: No. 123
* magnetization: 2.566 μB per cell

Unit cell a=4.6606 b=4.6606 c=5.1906 alpha=90.00 beta=90.00 gamma=90.00
Last column: nearest neighbours and their distance in Å.
Sites, in units of the cell vectors:
Re 0.0000 0.5000 0.0000  2 Se 2.33
Re 0.5000 0.0000 0.0000  2 Se 2.33
Sb 0.0000 0.0000 0.5000  4 Cl 3.30, 8 Re 3.49
Se 0.5000 0.5000 0.0000  4 Re 2.33, 2 Cl 2.60
Cl 0.5000 0.5000 0.5000  2 Se 2.60

---

# 10
Density functional theory data (PBE) for crystalline Ta2ReSbCl at its relaxed geometry.

Results
* electronic total energy: -36.61 eV/f.u.
* raw formation energy: 1.10 eV/atom
* calculated volume: 112.8 Å³ per cell
* space-group type: No. 123
* magnetization: 0.000 μB per cell

Unit cell a=5.0217 b=5.0217 c=4.4726 alpha=90.00 beta=90.00 gamma=90.00
Last column: nearest neighbours and their distance in Å.
Sites, in units of the cell vectors:
Ta 0.0000 0.5000 0.0000  2 Re 2.51
Ta 0.5000 0.0000 0.0000  2 Re 2.51
Re 0.0000 0.0000 0.0000  2 Cl 2.24
Sb 0.5000 0.5000 0.5000  8 Ta 3.36, 4 Cl 3.55
Cl 0.0000 0.0000 0.5000  2 Re 2.24

---

# 11
Density functional theory data (PBE) for crystalline ReSbTe2Cl at its relaxed geometry.

Results
* electronic total energy: -22.34 eV/f.u.
* raw formation energy: 0.47 eV/atom
* distance to the lowest polymorph of the same formula: 0.0 meV/atom
* calculated volume: 144.3 Å³ per cell
* space-group type: No. 123
* magnetization: 0.000 μB per cell

Unit cell a=5.2129 b=5.2129 c=5.3085 alpha=90.00 beta=90.00 gamma=90.00
Last column: nearest neighbours and their distance in Å.
Sites, in units of the cell vectors:
Re 0.0000 0.0000 0.0000  4 Te 2.61, 2 Sb 2.65
Sb 0.0000 0.0000 0.5000  2 Re 2.65
Te 0.0000 0.5000 0.0000  2 Re 2.61
Te 0.5000 0.0000 0.0000  2 Re 2.61
Cl 0.5000 0.5000 0.5000  4 Sb 3.69, 8 Te 3.72

---

# 12
Density functional theory data (PBE) for crystalline ReSbTe2Cl at its relaxed geometry.

Results
* electronic total energy: -15.43 eV/f.u.
* raw formation energy: 1.85 eV/atom
* distance to the lowest polymorph of the same formula: 1383.1 meV/atom
* calculated volume: 134.2 Å³ per cell
* space-group type: No. 123
* magnetization: 0.000 μB per cell

Unit cell a=5.1675 b=5.1675 c=5.0274 alpha=90.00 beta=90.00 gamma=90.00
Last column: nearest neighbours and their distance in Å.
Sites, in units of the cell vectors:
Re 0.0000 0.0000 0.0000  8 Te 3.60, 4 Sb 3.65
Sb 0.5000 0.5000 0.0000  2 Cl 2.51
Te 0.0000 0.5000 0.5000  2 Cl 2.58
Te 0.5000 0.0000 0.5000  2 Cl 2.58
Cl 0.5000 0.5000 0.5000  2 Sb 2.51, 4 Te 2.58